GdGa4Sb PBE-GGA relaxed; theoretical density = 7360 kg/m3; formation energy from raw total energies = -0.248 eV/atom; total energy = -5.3002 eV/atom; symmetry = F-43m
1.0
0.000 3.978 3.978
3.978 0.000 3.978
3.978 3.978 0.000
Gd Ga Sb
1 4 1
direct
0.000 0.000 0.000 Gd
0.125 0.625 0.625 Ga
0.625 0.125 0.625 Ga
0.625 0.625 0.125 Ga
0.625 0.625 0.625 Ga
0.250 0.250 0.250 Sb